## Ho2Tc2O7 (GGA-PBE)

Data for a geometry-optimized Ho2Tc2O7 structure. Values from VASP.

Values from the calculation:
SG   No. 65
E_tot   -7.926 eV per atom

Structure (Quantum ESPRESSO input):
```
&SYSTEM
  ibrav = 0, nat = 11, ntyp = 3
/
ATOMIC_SPECIES
Ho 164.93 Ho.upf
Tc 98.00 Tc.upf
O 16.00 O.upf
ATOMIC_POSITIONS crystal
Ho 0.238 0.238 0.000
Ho 0.762 0.762 0.000
Tc 0.240 0.760 0.500
Tc 0.760 0.240 0.500
O 0.000 0.000 0.274
O 0.000 0.000 0.726
O 0.000 0.500 0.263
O 0.000 0.500 0.737
O 0.500 0.000 0.263
O 0.500 0.000 0.737
O 0.500 0.500 0.500
CELL_PARAMETERS angstrom
3.557 -3.686 0.000
3.557 3.686 0.000
0.000 0.000 5.108
```

## Na3CdRu (GGA-PBE)

Data for a geometry-optimized Na3CdRu structure. Values from VASP.

Values from the calculation:
SG   No. 221
Energy relative to the lowest polymorph listed for this composition   0 meV per atom
Energy of formation from the pure elements   940 meV per atom

Structure (Quantum ESPRESSO input):
```
&SYSTEM
  ibrav = 0, nat = 5, ntyp = 3
/
ATOMIC_SPECIES
Na 22.99 Na.upf
Cd 112.41 Cd.upf
Ru 101.07 Ru.upf
ATOMIC_POSITIONS crystal
Na 0.000 0.000 0.500
Na 0.000 0.500 0.000
Na 0.500 0.000 0.000
Cd 0.500 0.500 0.500
Ru 0.000 0.000 0.000
CELL_PARAMETERS angstrom
5.587 0.000 0.000
0.000 5.587 0.000
0.000 0.000 5.587
```

## LiTl2Cd (GGA-PBE)

Data for a geometry-optimized LiTl2Cd structure. Values from VASP.

Values from the calculation:
SG   No. 62
Energy of formation from the pure elements   -57 meV per atom

Structure (Quantum ESPRESSO input):
```
&SYSTEM
  ibrav = 0, nat = 16, ntyp = 3
/
ATOMIC_SPECIES
Li 6.94 Li.upf
Tl 204.38 Tl.upf
Cd 112.41 Cd.upf
ATOMIC_POSITIONS crystal
Li 0.169 0.250 0.142
Li 0.331 0.750 0.642
Li 0.669 0.250 0.358
Li 0.831 0.750 0.858
Tl 0.141 0.250 0.784
Tl 0.182 0.750 0.972
Tl 0.318 0.250 0.472
Tl 0.359 0.750 0.284
Tl 0.641 0.250 0.716
Tl 0.682 0.750 0.528
Tl 0.818 0.250 0.028
Tl 0.859 0.750 0.216
Cd 0.009 0.250 0.602
Cd 0.491 0.750 0.102
Cd 0.509 0.250 0.898
Cd 0.991 0.750 0.398
CELL_PARAMETERS angstrom
7.482 0.000 0.000
0.000 3.401 0.000
0.000 0.000 15.893
```

## FeSn (GGA-PBE)

Data for a geometry-optimized FeSn structure. Values from VASP.

Values from the calculation:
SG   No. 38
Energy of formation from the pure elements   177 meV per atom

Structure (Quantum ESPRESSO input):
```
&SYSTEM
  ibrav = 0, nat = 6, ntyp = 2
/
ATOMIC_SPECIES
Fe 55.84 Fe.upf
Sn 118.71 Sn.upf
ATOMIC_POSITIONS crystal
Fe 0.000 0.000 0.000
Fe 0.500 0.656 0.866
Fe 0.500 0.866 0.656
Sn 0.000 0.283 0.814
Sn 0.000 0.814 0.283
Sn 0.500 0.364 0.364
CELL_PARAMETERS angstrom
3.058 0.000 0.000
0.000 5.769 3.153
0.000 -5.769 3.153
```

## Pr5Sm4Er (GGA-PBE)

Data for a geometry-optimized Pr5Sm4Er structure. Values from VASP.

Values from the calculation:
SG   No. 107
Energy relative to the lowest polymorph listed for this composition   219 meV per atom
Energy of formation from the pure elements   236 meV per atom

Structure (Quantum ESPRESSO input):
```
&SYSTEM
  ibrav = 0, nat = 10, ntyp = 3
/
ATOMIC_SPECIES
Pr 140.91 Pr.upf
Sm 150.36 Sm.upf
Er 167.26 Er.upf
ATOMIC_POSITIONS crystal
Pr 0.000 0.000 0.000
Pr 0.089 0.089 0.622
Pr 0.089 0.467 0.000
Pr 0.467 0.089 0.000
Pr 0.467 0.467 0.378
Sm 0.069 0.744 0.325
Sm 0.419 0.744 0.675
Sm 0.744 0.069 0.325
Sm 0.744 0.419 0.675
Er 0.536 0.536 0.000
CELL_PARAMETERS angstrom
-5.302 5.302 3.135
5.302 -5.302 3.135
5.302 5.302 -3.135
```

## Zr3Ga4Au (GGA-PBE)

Data for a geometry-optimized Zr3Ga4Au structure. Values from VASP.

Values from the calculation:
SG   No. 71
Energy of formation from the pure elements   -346 meV per atom

Structure (Quantum ESPRESSO input):
```
&SYSTEM
  ibrav = 0, nat = 8, ntyp = 3
/
ATOMIC_SPECIES
Zr 91.22 Zr.upf
Ga 69.72 Ga.upf
Au 196.97 Au.upf
ATOMIC_POSITIONS crystal
Zr 0.000 0.000 0.000
Zr 0.261 0.761 0.500
Zr 0.739 0.239 0.500
Ga 0.125 0.378 0.746
Ga 0.368 0.622 0.746
Ga 0.632 0.378 0.254
Ga 0.875 0.622 0.254
Au 0.500 0.500 0.000
CELL_PARAMETERS angstrom
-1.477 2.836 9.169
1.477 -2.836 9.169
1.477 2.836 -9.169
```

In states/eV/cell, the DOS(E_F) values for the records above are, in order, 5.406, 12.346, 6.442, 4.398, 14.966, 4.460.